Entry 1:
A plane-wave DFT calculation with PBE-GGA was carried out for a geometry-optimized RbHoAgTe3 structure.

The energy is -93.021 eV/cell. The value obtained for the energy relative to the elements, uncorrected is -0.906 eV/atom. For the total moment, the calculation gives 0.00 μB/atom. The density of states at the Fermi level comes out at 0.650 states/eV per atom.

It has space group Cmcm (No. 63), with a = 4.3134 Å, b = 17.2563 Å, c = 11.3235 Å, α = 90.00°, β = 90.00° and γ = 90.00°. Symmetry generates all atoms from Rb at (0.0000, 0.2448, 0.2500), Ho at (0.0000, 0.0000, 0.0000), Ag at (0.0000, 0.4687, 0.7500), Te at (0.0000, 0.0748, 0.7500) and Te at (0.0000, 0.3764, 0.5486).



Entry 2:
A plane-wave DFT calculation with PBE-GGA was carried out for a geometry-optimized TlHg2TePd structure.

The energy is -11.752 eV/cell. The value obtained for the energy relative to the elements, uncorrected is -0.090 eV/atom. For the total moment, the calculation gives 0.00 μB/atom. The density of states at the Fermi level comes out at 0.462 states/eV per atom.

It has space group P4/mmm (No. 123), with a = 5.2965 Å, b = 5.2965 Å, c = 5.4406 Å, α = 90.00°, β = 90.00° and γ = 90.00°. Symmetry generates all atoms from Tl at (0.0000, 0.0000, 0.0000), Hg at (0.0000, 0.5000, 0.5000), Te at (0.5000, 0.5000, 0.0000) and Pd at (0.5000, 0.5000, 0.5000).



Entry 3:
A plane-wave DFT calculation with PBE-GGA was carried out for a geometry-optimized Sm2PbI3 structure.

The energy is -94.935 eV/cell. The value obtained for the energy relative to the elements, uncorrected is -0.989 eV/atom. For the total moment, the calculation gives 0.00 μB/atom. The density of states at the Fermi level comes out at 0.170 states/eV per atom.

It has space group C2/m (No. 12), with a = 20.4839 Å, b = 4.2017 Å, c = 14.3591 Å, α = 90.00°, β = 129.36° and γ = 90.00°. Symmetry generates all atoms from Sm at (0.1060, 0.0000, 0.4228), Sm at (0.1259, 0.5000, 0.8345), Pb at (0.0743, 0.0000, 0.6309), I at (0.0465, 0.5000, 0.2145), I at (0.1782, 0.0000, 0.0393) and I at (0.2408, 0.5000, 0.6106).



Entry 4:
A plane-wave DFT calculation with PBE-GGA was carried out for a geometry-optimized Sr2LiRhO5 structure.

The energy is -215.073 eV/cell. The value obtained for the energy relative to the elements, uncorrected is -1.816 eV/atom. For the total moment, the calculation gives 0.23 μB/atom.

It has space group Cmc2_1 (No. 36), with a = 3.3214 Å, b = 14.1501 Å, c = 10.2051 Å, α = 90.00°, β = 90.00° and γ = 90.00°. Symmetry generates all atoms from Sr at (0.0000, 0.1055, 0.0000), Sr at (0.0000, 0.1260, 0.6162), Li at (0.0000, 0.4441, 0.7612), Rh at (0.0000, 0.2089, 0.3280), O at (0.0000, 0.0746, 0.3504), O at (0.0000, 0.2822, 0.9536), O at (0.0000, 0.3017, 0.7027), O at (0.0000, 0.3464, 0.3139) and O at (0.0000, 0.5004, 0.0935).



Entry 5:
A plane-wave DFT calculation with PBE-GGA was carried out for a geometry-optimized KLi2Rh structure.

The energy is -11.391 eV/cell. Its formation enthalpy at 0 K is 5.1 kcal/mol of atoms. For the total moment, the calculation gives 0.00 μB/atom. The density of states at the Fermi level comes out at 0.663 states/eV per atom.

It has space group P4mm (No. 99), with a = 3.3314 Å, b = 3.3314 Å, c = 8.1883 Å, α = 90.00°, β = 90.00° and γ = 90.00°. Symmetry generates all atoms from K at (0.0000, 0.0000, 0.0000), Li at (0.0000, 0.0000, 0.6065), Li at (0.5000, 0.5000, 0.4143) and Rh at (0.5000, 0.5000, 0.7170).



Entry 6:
A plane-wave DFT calculation with PBE-GGA was carried out for a geometry-optimized TcAs2 structure.

The energy is -78.354 eV/cell. For the offset from the most stable computed form, the calculation gives 216.9 meV per atom. Its formation enthalpy at 0 K is 0.6 kcal/mol of atoms. For the total moment, the calculation gives 0.00 μB/atom. The density of states at the Fermi level comes out at 0.498 states/eV per atom.

It has space group Pnma (No. 62), with a = 5.8361 Å, b = 4.2470 Å, c = 7.8895 Å, α = 90.00°, β = 90.00° and γ = 90.00°. Symmetry generates all atoms from Tc at (0.2424, 0.2500, 0.1659), As at (0.0698, 0.7500, 0.3497) and As at (0.1510, 0.7500, 0.9809).



Entry 7:
A plane-wave DFT calculation with PBE-GGA was carried out for a geometry-optimized RePt4Rh structure.

The energy is -79.815 eV/cell. For the offset from the most stable computed form, the calculation gives 760.8 meV per atom. Its formation enthalpy at 0 K is 15.6 kcal/mol of atoms. For the total moment, the calculation gives 0.00 μB/atom. The density of states at the Fermi level comes out at 1.112 states/eV per atom.

It has space group P2_1/m (No. 11), with a = 4.5479 Å, b = 8.0611 Å, c = 7.2779 Å, α = 90.00°, β = 102.26° and γ = 90.00°. Symmetry generates all atoms from Re at (0.1671, 0.2500, 0.0425), Pt at (0.0081, 0.5301, 0.1901), Pt at (0.2836, 0.2500, 0.4090), Pt at (0.3035, 0.7500, 0.8050) and Rh at (0.1579, 0.7500, 0.4230).



Entry 8:
A plane-wave DFT calculation with PBE-GGA was carried out for a geometry-optimized CeYTe6 structure.

The energy is -77.701 eV/cell. The value obtained for the energy relative to the elements, uncorrected is -0.950 eV/atom. For the total moment, the calculation gives 0.06 μB/atom. The density of states at the Fermi level comes out at 0.810 states/eV per atom.

It has space group Amm2 (No. 38), with a = 4.3865 Å, b = 4.3853 Å, c = 26.6776 Å, α = 90.00°, β = 90.00° and γ = 90.00°. Symmetry generates all atoms from Ce at (0.0000, 0.0000, 0.0000), Y at (0.5000, 0.0000, 0.6576), Te at (0.0000, 0.0000, 0.1222), Te at (0.0000, 0.0000, 0.4080), Te at (0.0000, 0.0000, 0.7500), Te at (0.5000, 0.0000, 0.2499), Te at (0.5000, 0.0000, 0.5358) and Te at (0.5000, 0.0000, 0.9080).



Entry 9:
A plane-wave DFT calculation with PBE-GGA was carried out for a geometry-optimized Li3Mg2NpS6 structure.

The energy is -124.955 eV/cell. The value obtained for the energy relative to the elements, uncorrected is -1.320 eV/atom. For the total moment, the calculation gives 0.17 μB/atom. The density of states at the Fermi level comes out at 0.639 states/eV per atom.

It has space group C2/m (No. 12), with a = 6.4543 Å, b = 11.1784 Å, c = 6.4957 Å, α = 90.00°, β = 109.31° and γ = 90.00°. Symmetry generates all atoms from Li at (0.0000, 0.0000, 0.0000), Li at (0.0000, 0.3354, 0.0000), Mg at (0.0000, 0.1672, 0.5000), Np at (0.0000, 0.5000, 0.5000), S at (0.2470, 0.3340, 0.7445) and S at (0.2484, 0.0000, 0.7418).



Entry 10:
A plane-wave DFT calculation with PBE-GGA was carried out for a geometry-optimized LiTlIn2Br4 structure.

The energy is -93.543 eV/cell. The value obtained for the energy relative to the elements, uncorrected is -0.867 eV/atom. For the total moment, the calculation gives 0.00 μB/atom.

It has space group Imma (No. 74), with a = 9.1391 Å, b = 9.1953 Å, c = 12.9306 Å, α = 90.00°, β = 90.00° and γ = 90.00°. Symmetry generates all atoms from Li at (0.0000, 0.0000, 0.0000), Tl at (0.2500, 0.2500, 0.2500), In at (0.0000, 0.0000, 0.5000), In at (0.2500, 0.2500, 0.7500), Br at (0.0000, 0.0021, 0.7893) and Br at (0.2344, 0.2500, 0.9989).



Entry 11:
A plane-wave DFT calculation with PBE-GGA was carried out for a geometry-optimized AcPmHgGe structure.

The energy is -63.313 eV/cell. Its formation enthalpy at 0 K is -11.8 kcal/mol of atoms. For the total moment, the calculation gives 0.00 μB/atom. The density of states at the Fermi level comes out at 1.142 states/eV per atom.

It has space group F-43m (No. 216), with a = 7.7261 Å, b = 7.7261 Å, c = 7.7261 Å, α = 90.00°, β = 90.00° and γ = 90.00°. Symmetry generates all atoms from Ac at (0.0000, 0.0000, 0.0000), Pm at (0.0000, 0.0000, 0.5000), Hg at (0.2500, 0.2500, 0.2500) and Ge at (0.2500, 0.2500, 0.7500).